## a
A plane-wave DFT calculation with PBE-GGA was carried out for CaAcPdPb after structural relaxation.

Cell: 5.497 5.497 5.497 Å, 60.00 60.00 60.00°
Sites, in units of the cell vectors:
Ca 0.000 0.000 0.000
Ac 0.500 0.500 0.500
Pd 0.750 0.750 0.750
Pb 0.250 0.250 0.250

=====

## b
A plane-wave DFT calculation with PBE-GGA was carried out for CaAcPdPb after structural relaxation.

Cell: 4.685 6.645 6.645 Å, 35.77 90.00 90.00°
Sites, in units of the cell vectors:
Ca 0.000 0.000 0.000
Ac 0.500 0.712 0.712
Pd 0.000 0.273 0.273
Pb 0.500 0.433 0.433

=====

Most stable: b (next structure +37 meV per atom)

=====

## a
A plane-wave DFT calculation with PBE-GGA was carried out for CaAcRhPb after structural relaxation.

Cell: 3.977 6.673 6.673 Å, 41.00 90.00 90.00°
Sites, in units of the cell vectors:
Ca 0.000 0.000 0.000
Ac 0.500 0.293 0.293
Rh 0.000 0.751 0.751
Pb 0.500 0.585 0.585

=====

## b
A plane-wave DFT calculation with PBE-GGA was carried out for CaAcRhPb after structural relaxation.

Cell: 5.209 5.209 5.209 Å, 60.00 60.00 60.00°
Sites, in units of the cell vectors:
Ca 0.000 0.000 0.000
Ac 0.750 0.750 0.750
Rh 0.500 0.500 0.500
Pb 0.250 0.250 0.250

=====

Most stable: a (next structure +170 meV per atom)

=====

## a
A plane-wave DFT calculation with PBE-GGA was carried out for Ca2AcPd after structural relaxation.

Cell: 11.375 11.375 11.375 Å, 19.67 19.67 19.67°
Sites, in units of the cell vectors:
Ca 0.114 0.114 0.114
Ca 0.886 0.886 0.886
Ac 0.000 0.000 0.000
Pd 0.500 0.500 0.500

=====

## b
A plane-wave DFT calculation with PBE-GGA was carried out for Ca2AcPd after structural relaxation.

Cell: 6.774 6.774 10.119 Å, 90.00 90.00 144.54°
Sites, in units of the cell vectors:
Ca 0.146 0.854 0.568
Ca 0.146 0.854 0.932
Ca 0.854 0.146 0.068
Ca 0.854 0.146 0.432
Ac 0.421 0.579 0.750
Ac 0.579 0.421 0.250
Pd 0.248 0.752 0.250
Pd 0.752 0.248 0.750

=====

## c
A plane-wave DFT calculation with PBE-GGA was carried out for Ca2AcPd after structural relaxation.

Cell: 3.692 3.692 9.429 Å, 90.00 90.00 90.00°
Sites, in units of the cell vectors:
Ca 0.000 0.000 0.177
Ca 0.000 0.000 0.823
Ac 0.500 0.500 0.500
Pd 0.500 0.500 0.000

=====

Most stable: b (next structure +110 meV per atom)

=====

## a
A plane-wave DFT calculation with PBE-GGA was carried out for Ca2AcPd after structural relaxation.

Cell: 10.306 10.306 10.306 Å, 22.54 22.54 22.54°
Sites, in units of the cell vectors:
Ca 0.000 0.000 0.000
Ca 0.222 0.222 0.222
Ac 0.445 0.445 0.445
Pd 0.611 0.611 0.611

=====

## b
A plane-wave DFT calculation with PBE-GGA was carried out for Ca2AcPd after structural relaxation.

Cell: 7.786 10.332 6.647 Å, 90.00 90.00 90.00°
Sites, in units of the cell vectors:
Ca 0.176 0.067 0.161
Ca 0.176 0.433 0.161
Ca 0.324 0.567 0.661
Ca 0.324 0.933 0.661
Ca 0.676 0.067 0.339
Ca 0.676 0.433 0.339
Ca 0.824 0.567 0.839
Ca 0.824 0.933 0.839
Ac 0.041 0.250 0.643
Ac 0.459 0.750 0.143
Ac 0.541 0.250 0.857
Ac 0.959 0.750 0.357
Pd 0.117 0.750 0.935
Pd 0.383 0.250 0.435
Pd 0.617 0.750 0.565
Pd 0.883 0.250 0.065

=====

Most stable: b (next structure +150 meV per atom)

=====

## a
A plane-wave DFT calculation with PBE-GGA was carried out for CaAcPd2 after structural relaxation.

Cell: 5.210 5.210 5.210 Å, 60.00 60.00 60.00°
Sites, in units of the cell vectors:
Ca 0.000 0.000 0.000
Ac 0.500 0.500 0.500
Pd 0.250 0.250 0.250
Pd 0.750 0.750 0.750

=====

## b
A plane-wave DFT calculation with PBE-GGA was carried out for CaAcPd2 after structural relaxation.

Cell: 7.560 7.560 7.560 Å, 32.62 32.62 32.62°
Sites, in units of the cell vectors:
Ca 0.000 0.000 0.000
Ac 0.173 0.173 0.173
Pd 0.592 0.592 0.592
Pd 0.749 0.749 0.749

=====

## c
A plane-wave DFT calculation with PBE-GGA was carried out for CaAcPd2 after structural relaxation.

Cell: 4.084 4.567 5.966 Å, 90.00 109.94 90.00°
Sites, in units of the cell vectors:
Ca 0.000 0.000 0.000
Ac 0.276 0.500 0.552
Pd 0.555 0.500 0.109
Pd 0.715 0.000 0.431

=====

Most stable: c (next structure +72 meV per atom)

=====

## a
A plane-wave DFT calculation with PBE-GGA was carried out for CaAc2Pd after structural relaxation.

Cell: 10.469 10.469 10.469 Å, 23.63 23.63 23.63°
Sites, in units of the cell vectors:
Ca 0.000 0.000 0.000
Ac 0.225 0.225 0.225
Ac 0.443 0.443 0.443
Pd 0.834 0.834 0.834

=====

## b
A plane-wave DFT calculation with PBE-GGA was carried out for CaAc2Pd after structural relaxation.

Cell: 7.012 7.012 10.236 Å, 90.00 90.00 145.55°
Sites, in units of the cell vectors:
Ca 0.083 0.917 0.750
Ca 0.917 0.083 0.250
Ac 0.360 0.640 0.563
Ac 0.360 0.640 0.937
Ac 0.640 0.360 0.063
Ac 0.640 0.360 0.437
Pd 0.240 0.760 0.250
Pd 0.760 0.240 0.750

=====

## c
A plane-wave DFT calculation with PBE-GGA was carried out for CaAc2Pd after structural relaxation.

Cell: 10.491 10.491 10.491 Å, 23.41 23.41 23.41°
Sites, in units of the cell vectors:
Ca 0.000 0.000 0.000
Ac 0.225 0.225 0.225
Ac 0.775 0.775 0.775
Pd 0.500 0.500 0.500

=====

## d
A plane-wave DFT calculation with PBE-GGA was carried out for CaAc2Pd after structural relaxation.

Cell: 7.769 10.661 6.883 Å, 90.00 90.00 90.00°
Sites, in units of the cell vectors:
Ca 0.040 0.250 0.156
Ca 0.460 0.750 0.656
Ca 0.540 0.250 0.344
Ca 0.960 0.750 0.844
Ac 0.175 0.065 0.672
Ac 0.175 0.435 0.672
Ac 0.325 0.565 0.172
Ac 0.325 0.935 0.172
Ac 0.675 0.065 0.828
Ac 0.675 0.435 0.828
Ac 0.825 0.565 0.328
Ac 0.825 0.935 0.328
Pd 0.118 0.750 0.431
Pd 0.382 0.250 0.931
Pd 0.618 0.750 0.069
Pd 0.882 0.250 0.569

=====

Most stable: d (next structure +30 meV per atom)

=====

## a
A plane-wave DFT calculation with PBE-GGA was carried out for CaAc3Pd2 after structural relaxation.

Cell: 9.200 9.200 12.036 Å, 117.08 117.08 28.43°
Sites, in units of the cell vectors:
Ca 0.069 0.069 0.159
Ca 0.931 0.931 0.841
Ac 0.162 0.162 0.520
Ac 0.289 0.289 0.899
Ac 0.449 0.449 0.283
Ac 0.551 0.551 0.717
Ac 0.711 0.711 0.101
Ac 0.838 0.838 0.480
Pd 0.120 0.120 0.919
Pd 0.357 0.357 0.666
Pd 0.643 0.643 0.334
Pd 0.880 0.880 0.081

=====

## b
A plane-wave DFT calculation with PBE-GGA was carried out for CaAc3Pd2 after structural relaxation.

Cell: 7.487 7.487 6.914 Å, 90.00 90.00 88.97°
Sites, in units of the cell vectors:
Ca 0.063 0.937 0.750
Ca 0.937 0.063 0.250
Ac 0.074 0.561 0.250
Ac 0.422 0.578 0.750
Ac 0.439 0.926 0.250
Ac 0.561 0.074 0.750
Ac 0.578 0.422 0.250
Ac 0.926 0.439 0.750
Pd 0.246 0.246 0.000
Pd 0.246 0.246 0.500
Pd 0.754 0.754 0.000
Pd 0.754 0.754 0.500

=====

Most stable: a (next structure +17 meV per atom)

=====

## a
A plane-wave DFT calculation with PBE-GGA was carried out for CaAc2Pm after structural relaxation.

Cell: 3.900 3.900 10.929 Å, 90.00 90.00 90.00°
Sites, in units of the cell vectors:
Ca 0.000 0.000 0.000
Ac 0.500 0.500 0.264
Ac 0.500 0.500 0.736
Pm 0.000 0.000 0.500

=====

## b
A plane-wave DFT calculation with PBE-GGA was carried out for CaAc2Pm after structural relaxation.

Cell: 12.835 12.835 12.835 Å, 17.41 17.41 17.41°
Sites, in units of the cell vectors:
Ca 0.000 0.000 0.000
Ac 0.247 0.247 0.247
Ac 0.753 0.753 0.753
Pm 0.500 0.500 0.500

=====

## c
A plane-wave DFT calculation with PBE-GGA was carried out for CaAc2Pm after structural relaxation.

Cell: 6.154 6.154 6.154 Å, 60.00 60.00 60.00°
Sites, in units of the cell vectors:
Ca 0.000 0.000 0.000
Ac 0.250 0.250 0.250
Ac 0.750 0.750 0.750
Pm 0.500 0.500 0.500

=====

Most stable: b (next structure +8 meV per atom)

=====

## a
A plane-wave DFT calculation with PBE-GGA was carried out for CaAc2Pm after structural relaxation.

Cell: 12.866 12.866 12.866 Å, 17.38 17.38 17.38°
Sites, in units of the cell vectors:
Ca 0.000 0.000 0.000
Ac 0.580 0.580 0.580
Ac 0.754 0.754 0.754
Pm 0.167 0.167 0.167

=====

## b
A plane-wave DFT calculation with PBE-GGA was carried out for CaAc2Pm after structural relaxation.

Cell: 13.700 13.700 13.700 Å, 16.06 16.06 16.06°
Sites, in units of the cell vectors:
Ca 0.000 0.000 0.000
Ac 0.092 0.092 0.092
Ac 0.908 0.908 0.908
Pm 0.500 0.500 0.500

=====

## c
A plane-wave DFT calculation with PBE-GGA was carried out for CaAc2Pm after structural relaxation.

Cell: 5.602 5.602 5.202 Å, 90.00 90.00 90.00°
Sites, in units of the cell vectors:
Ca 0.000 0.000 0.000
Ac 0.000 0.500 0.500
Ac 0.500 0.000 0.500
Pm 0.500 0.500 0.000

=====

Most stable: a (next structure +29 meV per atom)

=====

## a
A plane-wave DFT calculation with PBE-GGA was carried out for Ca2Ac6Pm after structural relaxation.

Cell: 9.313 9.313 5.864 Å, 90.00 90.00 126.02°
Sites, in units of the cell vectors:
Ca 0.221 0.779 0.000
Ca 0.779 0.221 0.000
Ac 0.145 0.430 0.500
Ac 0.260 0.260 0.000
Ac 0.430 0.145 0.500
Ac 0.570 0.855 0.500
Ac 0.740 0.740 0.000
Ac 0.855 0.570 0.500
Pm 0.000 0.000 0.500

=====

## b
A plane-wave DFT calculation with PBE-GGA was carried out for Ca2Ac6Pm after structural relaxation.

Cell: 3.925 3.925 29.386 Å, 90.00 90.00 120.00°
Sites, in units of the cell vectors:
Ca 0.000 0.000 0.173
Ca 0.000 0.000 0.827
Ac 0.000 0.000 0.396
Ac 0.000 0.000 0.604
Ac 0.667 0.333 0.063
Ac 0.667 0.333 0.285
Ac 0.667 0.333 0.715
Ac 0.667 0.333 0.937
Pm 0.667 0.333 0.500

=====

Most stable: b (next structure +217 meV per atom)